Record 1
First-principles (GGA-PBEsol) data for a relaxed structure of K2LiYI6, as listed in the Alexandria database.

**Energy relative to the elements, uncorrected**: -1290 kJ/mol of formula units
**E_tot**: -3.503 eV per atom
**DOS(E_F)**: 0.000 states/eV per cell

a b c (Å): 8.269 8.269 8.269
angles (deg): 60.00 60.00 60.00
Element x y z (fractional)
1 K 0.250 0.250 0.250
2 K 0.750 0.750 0.750
3 Li 0.000 0.000 0.000
4 Y 0.500 0.500 0.500
5 I 0.246 0.246 0.754
6 I 0.246 0.754 0.246
7 I 0.246 0.754 0.754
8 I 0.754 0.246 0.246
9 I 0.754 0.246 0.754
10 I 0.754 0.754 0.246

Record 2
First-principles (GGA-PBEsol) data for a relaxed structure of K2MgTeI, as listed in the Alexandria database.

**Energy relative to the elements, uncorrected**: -74 kJ/mol of formula units
**E_tot**: -2.009 eV per atom
**DOS(E_F)**: 5.510 states/eV per cell

a b c (Å): 6.642 6.642 5.342
angles (deg): 90.00 90.00 90.00
Element x y z (fractional)
1 K 0.000 0.500 0.000
2 K 0.500 0.000 0.000
3 Mg 0.000 0.000 0.000
4 Te 0.500 0.500 0.500
5 I 0.000 0.000 0.500

Record 3
First-principles (GGA-PBEsol) data for a relaxed structure of KMgTe2I, as listed in the Alexandria database.

**Energy relative to the elements, uncorrected**: -254 kJ/mol of formula units
**E_tot**: -2.860 eV per atom
**DOS(E_F)**: 5.658 states/eV per cell

a b c (Å): 5.457 5.457 6.004
angles (deg): 90.00 90.00 90.00
Element x y z (fractional)
1 K 0.000 0.000 0.000
2 Mg 0.500 0.500 0.500
3 Te 0.000 0.500 0.500
4 Te 0.500 0.000 0.500
5 I 0.500 0.500 0.000

Record 4
First-principles (GGA-PBEsol) data for a relaxed structure of KMgZrI2, as listed in the Alexandria database.

**Energy relative to the elements, uncorrected**: 312 kJ/mol of formula units
**E_tot**: -2.448 eV per atom
**DOS(E_F)**: 7.915 states/eV per cell

a b c (Å): 5.640 5.640 6.188
angles (deg): 90.00 90.00 90.00
Element x y z (fractional)
1 K 0.000 0.000 0.000
2 Mg 0.000 0.000 0.500
3 Zr 0.500 0.500 0.000
4 I 0.000 0.500 0.500
5 I 0.500 0.000 0.500

Record 5
First-principles (GGA-PBEsol) data for a relaxed structure of KMnI3, as listed in the Alexandria database.

**Energy relative to the elements, uncorrected**: -333 kJ/mol of formula units
**E_tot**: -3.930 eV per atom
**DOS(E_F)**: 0.058 states/eV per cell

a b c (Å): 5.672 5.672 5.672
angles (deg): 90.00 90.00 90.00
Element x y z (fractional)
1 K 0.000 0.000 0.000
2 Mn 0.500 0.500 0.500
3 I 0.000 0.500 0.500
4 I 0.500 0.000 0.500
5 I 0.500 0.500 0.000

Record 6
First-principles (GGA-PBEsol) data for a relaxed structure of KMn2IO, as listed in the Alexandria database.

**Energy relative to the elements, uncorrected**: 647 kJ/mol of formula units
**E_tot**: -4.193 eV per atom
**DOS(E_F)**: 5.107 states/eV per cell

a b c (Å): 5.729 5.729 4.346
angles (deg): 90.00 90.00 90.00
Element x y z (fractional)
1 K 0.000 0.000 0.000
2 Mn 0.000 0.500 0.000
3 Mn 0.500 0.000 0.000
4 I 0.500 0.500 0.500
5 O 0.000 0.000 0.500

Record 7
First-principles (GGA-PBEsol) data for a relaxed structure of KMnIO6, as listed in the Alexandria database.

**Energy relative to the elements, uncorrected**: -977 kJ/mol of formula units
**E_tot**: -6.032 eV per atom

a b c (Å): 5.033 5.033 6.004
angles (deg): 90.00 90.00 120.00
Element x y z (fractional)
1 K 0.000 0.000 0.000
2 Mn 0.333 0.667 0.500
3 I 0.667 0.333 0.500
4 O 0.001 0.380 0.678
5 O 0.001 0.621 0.322
6 O 0.379 0.380 0.322
7 O 0.379 0.999 0.678
8 O 0.620 0.621 0.678
9 O 0.620 0.999 0.322

Record 8
First-principles (GGA-PBEsol) data for a relaxed structure of KMnSbI2, as listed in the Alexandria database.

**Energy relative to the elements, uncorrected**: -130 kJ/mol of formula units
**E_tot**: -4.067 eV per atom
**DOS(E_F)**: 1.085 states/eV per cell

a b c (Å): 5.815 5.815 5.033
angles (deg): 90.00 90.00 90.00
Element x y z (fractional)
1 K 0.000 0.000 0.000
2 Mn 0.500 0.500 0.500
3 Sb 0.500 0.500 0.000
4 I 0.000 0.500 0.500
5 I 0.500 0.000 0.500

Record 9
First-principles (GGA-PBEsol) data for a relaxed structure of K2MoI, as listed in the Alexandria database.

**Energy relative to the elements, uncorrected**: 299 kJ/mol of formula units
**E_tot**: -3.176 eV per atom
**DOS(E_F)**: 0.231 states/eV per cell

a b c (Å): 6.055 6.055 6.055
angles (deg): 60.00 60.00 60.00
Element x y z (fractional)
1 K 0.250 0.250 0.250
2 K 0.750 0.750 0.750
3 Mo 0.000 0.000 0.000
4 I 0.500 0.500 0.500

Record 10
First-principles (GGA-PBEsol) data for a relaxed structure of K2MoI2, as listed in the Alexandria database.

**Energy relative to the elements, uncorrected**: 152 kJ/mol of formula units
**E_tot**: -3.199 eV per atom
**DOS(E_F)**: 0.053 states/eV per cell

a b c (Å): 7.265 7.265 7.265
angles (deg): 127.05 127.05 78.17
Element x y z (fractional)
1 K 0.177 0.177 0.000
2 K 0.823 0.823 0.000
3 Mo 0.500 0.500 0.000
4 I 0.250 0.750 0.500
5 I 0.750 0.250 0.500

Record 11
First-principles (GGA-PBEsol) data for a relaxed structure of KSbI2N, as listed in the Alexandria database.

**Energy relative to the elements, uncorrected**: 100 kJ/mol of formula units
**E_tot**: -3.343 eV per atom
**DOS(E_F)**: 2.658 states/eV per cell

a b c (Å): 6.139 6.139 4.109
angles (deg): 90.00 90.00 90.00
Element x y z (fractional)
1 K 0.000 0.000 0.000
2 Sb 0.500 0.500 0.000
3 I 0.000 0.500 0.500
4 I 0.500 0.000 0.500
5 N 0.500 0.500 0.500

Record 12
First-principles (GGA-PBEsol) data for a relaxed structure of KTeI2N, as listed in the Alexandria database.

**Energy relative to the elements, uncorrected**: -26 kJ/mol of formula units
**E_tot**: -3.398 eV per atom
**DOS(E_F)**: 0.634 states/eV per cell

a b c (Å): 6.287 6.287 4.032
angles (deg): 90.00 90.00 90.00
Element x y z (fractional)
1 K 0.000 0.000 0.000
2 Te 0.500 0.500 0.500
3 I 0.000 0.500 0.500
4 I 0.500 0.000 0.500
5 N 0.500 0.500 0.000

Record 13
First-principles (GGA-PBEsol) data for a relaxed structure of KTeIN2, as listed in the Alexandria database.

**Energy relative to the elements, uncorrected**: 681 kJ/mol of formula units
**E_tot**: -3.284 eV per atom
**DOS(E_F)**: 2.541 states/eV per cell

a b c (Å): 4.473 4.473 5.814
angles (deg): 90.00 90.00 90.00
Element x y z (fractional)
1 K 0.000 0.000 0.000
2 Te 0.500 0.500 0.000
3 I 0.500 0.500 0.500
4 N 0.000 0.500 0.500
5 N 0.500 0.000 0.500

Record 14
First-principles (GGA-PBEsol) data for a relaxed structure of KYIN2, as listed in the Alexandria database.

**Energy relative to the elements, uncorrected**: 696 kJ/mol of formula units
**E_tot**: -3.912 eV per atom
**DOS(E_F)**: 1.995 states/eV per cell

a b c (Å): 4.653 4.653 5.697
angles (deg): 90.00 90.00 90.00
Element x y z (fractional)
1 K 0.000 0.000 0.000
2 Y 0.500 0.500 0.500
3 I 0.000 0.000 0.500
4 N 0.000 0.500 0.000
5 N 0.500 0.000 0.000

Record 15
First-principles (GGA-PBEsol) data for a relaxed structure of KZnI2N, as listed in the Alexandria database.

**Energy relative to the elements, uncorrected**: 469 kJ/mol of formula units
**E_tot**: -1.984 eV per atom
**DOS(E_F)**: 4.179 states/eV per cell

a b c (Å): 6.380 6.380 5.078
angles (deg): 90.00 90.00 90.00
Element x y z (fractional)
1 K 0.000 0.000 0.000
2 Zn 0.500 0.500 0.500
3 I 0.000 0.500 0.000
4 I 0.500 0.000 0.000
5 N 0.000 0.000 0.500

Record 16
First-principles (GGA-PBEsol) data for a relaxed structure of KNaI2, as listed in the Alexandria database.

**Energy relative to the elements, uncorrected**: -484 kJ/mol of formula units
**E_tot**: -2.770 eV per atom
**ΔE to the lowest computed polymorph**: 17 meV per atom
**DOS(E_F)**: 0.000 states/eV per cell

a b c (Å): 5.813 5.813 5.813
angles (deg): 60.00 60.00 60.00
Element x y z (fractional)
1 K 0.000 0.000 0.000
2 Na 0.500 0.500 0.500
3 I 0.250 0.250 0.250
4 I 0.750 0.750 0.750

Record 17
First-principles (GGA-PBEsol) data for a relaxed structure of KNaI2, as listed in the Alexandria database.

**Energy relative to the elements, uncorrected**: -490 kJ/mol of formula units
**E_tot**: -2.787 eV per atom
**ΔE to the lowest computed polymorph**: 0 meV per atom
**DOS(E_F)**: 0.000 states/eV per cell

a b c (Å): 7.609 7.609 7.609
angles (deg): 112.15 112.15 104.24
Element x y z (fractional)
1 K 0.000 0.000 0.000
2 K 0.750 0.250 0.500
3 Na 0.250 0.750 0.500
4 Na 0.500 0.500 0.000
5 I 0.158 0.125 0.533
6 I 0.375 0.842 0.967
7 I 0.592 0.625 0.467
8 I 0.875 0.408 0.033

Record 18
First-principles (GGA-PBEsol) data for a relaxed structure of KNa2I2, as listed in the Alexandria database.

**Energy relative to the elements, uncorrected**: -411 kJ/mol of formula units
**E_tot**: -2.345 eV per atom
**DOS(E_F)**: 2.162 states/eV per cell

a b c (Å): 8.660 8.660 8.660
angles (deg): 145.14 145.14 50.13
Element x y z (fractional)
1 K 0.000 0.000 0.000
2 Na 0.250 0.750 0.500
3 Na 0.750 0.250 0.500
4 I 0.368 0.368 0.000
5 I 0.632 0.632 0.000

Record 19
First-principles (GGA-PBEsol) data for a relaxed structure of K2NaNdI6, as listed in the Alexandria database.

**Energy relative to the elements, uncorrected**: -1269 kJ/mol of formula units
**E_tot**: -3.258 eV per atom
**DOS(E_F)**: 0.000 states/eV per cell

a b c (Å): 8.612 8.612 8.612
angles (deg): 60.00 60.00 60.00
Element x y z (fractional)
1 K 0.250 0.250 0.250
2 K 0.750 0.750 0.750
3 Na 0.000 0.000 0.000
4 Nd 0.500 0.500 0.500
5 I 0.250 0.250 0.750
6 I 0.250 0.750 0.250
7 I 0.250 0.750 0.750
8 I 0.750 0.250 0.250
9 I 0.750 0.250 0.750
10 I 0.750 0.750 0.250

Record 20
First-principles (GGA-PBEsol) data for a relaxed structure of K2NaPrI6, as listed in the Alexandria database.

**Energy relative to the elements, uncorrected**: -1266 kJ/mol of formula units
**E_tot**: -3.258 eV per atom
**DOS(E_F)**: 0.000 states/eV per cell

a b c (Å): 8.641 8.641 8.641
angles (deg): 60.00 60.00 60.00
Element x y z (fractional)
1 K 0.250 0.250 0.250
2 K 0.750 0.750 0.750
3 Na 0.000 0.000 0.000
4 Pr 0.500 0.500 0.500
5 I 0.249 0.249 0.751
6 I 0.249 0.751 0.249
7 I 0.249 0.751 0.751
8 I 0.751 0.249 0.249
9 I 0.751 0.249 0.751
10 I 0.751 0.751 0.249

Record 21
First-principles (GGA-PBEsol) data for a relaxed structure of K2NaScI6, as listed in the Alexandria database.

**Energy relative to the elements, uncorrected**: -1223 kJ/mol of formula units
**E_tot**: -3.355 eV per atom
**DOS(E_F)**: 0.000 states/eV per cell

a b c (Å): 8.313 8.313 8.313
angles (deg): 60.00 60.00 60.00
Element x y z (fractional)
1 K 0.250 0.250 0.250
2 K 0.750 0.750 0.750
3 Na 0.000 0.000 0.000
4 Sc 0.500 0.500 0.500
5 I 0.258 0.258 0.742
6 I 0.258 0.742 0.258
7 I 0.258 0.742 0.742
8 I 0.742 0.258 0.258
9 I 0.742 0.258 0.742
10 I 0.742 0.742 0.258

Record 22
First-principles (GGA-PBEsol) data for a relaxed structure of KNa2ScI, as listed in the Alexandria database.

**Energy relative to the elements, uncorrected**: 342 kJ/mol of formula units
**E_tot**: -1.751 eV per atom
**DOS(E_F)**: 5.593 states/eV per cell

a b c (Å): 6.056 6.056 6.346
angles (deg): 90.00 90.00 90.00
Element x y z (fractional)
1 K 0.000 0.000 0.000
2 Na 0.000 0.500 0.000
3 Na 0.500 0.000 0.000
4 Sc 0.000 0.000 0.500
5 I 0.500 0.500 0.500

Record 23
First-principles (GGA-PBEsol) data for a relaxed structure of K2NaYI6, as listed in the Alexandria database.

**Energy relative to the elements, uncorrected**: -1283 kJ/mol of formula units
**E_tot**: -3.439 eV per atom
**DOS(E_F)**: 0.000 states/eV per cell

a b c (Å): 8.493 8.493 8.493
angles (deg): 60.00 60.00 60.00
Element x y z (fractional)
1 K 0.250 0.250 0.250
2 K 0.750 0.750 0.750
3 Na 0.000 0.000 0.000
4 Y 0.500 0.500 0.500
5 I 0.253 0.253 0.747
6 I 0.253 0.747 0.253
7 I 0.253 0.747 0.747
8 I 0.747 0.253 0.253
9 I 0.747 0.253 0.747
10 I 0.747 0.747 0.253

Record 24
First-principles (GGA-PBEsol) data for a relaxed structure of KNb3I, as listed in the Alexandria database.

**Energy relative to the elements, uncorrected**: 862 kJ/mol of formula units
**E_tot**: -5.286 eV per atom
**DOS(E_F)**: 8.435 states/eV per cell

a b c (Å): 5.132 5.132 5.132
angles (deg): 90.00 90.00 90.00
Element x y z (fractional)
1 K 0.000 0.000 0.000
2 Nb 0.000 0.500 0.500
3 Nb 0.500 0.000 0.500
4 Nb 0.500 0.500 0.000
5 I 0.500 0.500 0.500

Record 25
First-principles (GGA-PBEsol) data for a relaxed structure of K3NdI6, as listed in the Alexandria database.

**Energy relative to the elements, uncorrected**: -1279 kJ/mol of formula units
**E_tot**: -3.243 eV per atom
**DOS(E_F)**: 0.000 states/eV per cell

a b c (Å): 8.931 8.931 8.931
angles (deg): 60.00 60.00 60.00
Element x y z (fractional)
1 K 0.000 0.000 0.000
2 K 0.250 0.250 0.250
3 K 0.750 0.750 0.750
4 Nd 0.500 0.500 0.500
5 I 0.258 0.258 0.742
6 I 0.258 0.742 0.258
7 I 0.258 0.742 0.742
8 I 0.742 0.258 0.258
9 I 0.742 0.258 0.742
10 I 0.742 0.742 0.258